# 1
# GGA-PBE Ba2SrCu, optimized geometry
data_Ba2SrCu
_cell_length_a 4.5749
_cell_length_b 4.5749
_cell_length_c 33.4303
_cell_angle_alpha 90.00
_cell_angle_beta 90.00
_cell_angle_gamma 120.00
_symmetry_space_group_name_H-M 'R -3 m'
_symmetry_Int_Tables_number 166
_symmetry_space_group_name_Hall '-R 3 2"'
loop_
_atom_site_label
_atom_site_type_symbol
_atom_site_fract_x
_atom_site_fract_y
_atom_site_fract_z
Ba1 Ba 0.0000 0.0000 0.2219
Sr1 Sr 0.0000 0.0000 0.0000
Cu1 Cu 0.0000 0.0000 0.5000
# E_tot ... -28.22 eV per cell
# Volume ... 50.50 Å³/atom
# Energy of formation from the pure elements ... 54 meV per atom
# DOS(E_F) ... 4.7 states/eV/f.u.

=====

# 2
# GGA-PBE Y3PuAs4, optimized geometry
data_Y3PuAs4
_cell_length_a 5.835
_cell_length_b 5.835
_cell_length_c 5.835
_cell_angle_alpha 90.00
_cell_angle_beta 90.00
_cell_angle_gamma 90.00
_symmetry_space_group_name_H-M 'P m -3 m'
_symmetry_Int_Tables_number 221
_symmetry_space_group_name_Hall '-P 4 2 3'
loop_
_atom_site_label
_atom_site_type_symbol
_atom_site_fract_x
_atom_site_fract_y
_atom_site_fract_z
Y1 Y 0.000 0.000 0.500
Pu1 Pu 0.500 0.500 0.500
As1 As 0.000 0.000 0.000
As2 As 0.000 0.500 0.500
# E_tot ... -63.62 eV per cell
# Volume ... 24.83 Å³/atom
# Energy of formation from the pure elements ... -1412 meV per atom
# DOS(E_F) ... 15.8 states/eV/f.u.

=====

# 3
# GGA-PBE ZrGa2C2, optimized geometry
data_ZrGa2C2
_cell_length_a 6.548
_cell_length_b 6.548
_cell_length_c 3.588
_cell_angle_alpha 90.00
_cell_angle_beta 90.00
_cell_angle_gamma 90.00
_symmetry_space_group_name_H-M 'P 4/m b m'
_symmetry_Int_Tables_number 127
_symmetry_space_group_name_Hall '-P 4 2ab'
loop_
_atom_site_label
_atom_site_type_symbol
_atom_site_fract_x
_atom_site_fract_y
_atom_site_fract_z
Zr1 Zr 0.000 0.000 0.000
Ga1 Ga 0.140 0.360 0.500
C1 C 0.222 0.278 0.000
# E_tot ... -60.32 eV per cell
# Volume ... 15.39 Å³/atom
# Energy of formation from the pure elements ... 577 meV per atom
# DOS(E_F) ... 2.7 states/eV/f.u.

=====

# 4
# GGA-PBE AcZn2Cd, optimized geometry
data_AcZn2Cd
_cell_length_a 7.280
_cell_length_b 7.280
_cell_length_c 7.280
_cell_angle_alpha 90.00
_cell_angle_beta 90.00
_cell_angle_gamma 90.00
_symmetry_space_group_name_H-M 'F m -3 m'
_symmetry_Int_Tables_number 225
_symmetry_space_group_name_Hall '-F 4 2 3'
loop_
_atom_site_label
_atom_site_type_symbol
_atom_site_fract_x
_atom_site_fract_y
_atom_site_fract_z
Ac1 Ac 0.000 0.000 0.000
Zn1 Zn 0.250 0.250 0.250
Cd1 Cd 0.000 0.000 0.500
# E_tot ... -34.14 eV per cell
# Volume ... 24.12 Å³/atom
# Energy of formation from the pure elements ... -241 meV per atom
# DOS(E_F) ... 2.0 states/eV/f.u.